# 1
PrMgCuPt: optimized geometry, PBE.

Results
The calculation puts the formation energy at -51.3 kJ per mole of atoms.

Structure (CIF):
```
data_PrMgCuPt
_chemical_formula_sum 'Pr4 Mg4 Cu4 Pt4'
_cell_length_a 6.900
_cell_length_b 6.900
_cell_length_c 6.900
_cell_angle_alpha 90.00
_cell_angle_beta 90.00
_cell_angle_gamma 90.00
_space_group_name_H-M_alt 'F -4 3 m'
_space_group_IT_number 216
_space_group_name_Hall 'F -4 2 3'
loop_
_atom_site_label
_atom_site_fract_x
_atom_site_fract_y
_atom_site_fract_z
Pr1 0.000 0.000 0.000
Mg1 0.000 0.000 0.500
Cu1 0.250 0.250 0.750
Pt1 0.250 0.250 0.250
```

---

# 2
Cu2SiN: optimized geometry, PBE.

Results
Its uncorrected formation energy is 0.8753 eV per atom. The excess energy over the best structure of this formula in the dataset is 5.71 kcal/mol of atoms.

Structure (CIF):
```
data_Cu2SiN
_chemical_formula_sum 'Cu8 Si4 N4'
_cell_length_a 5.674
_cell_length_b 5.674
_cell_length_c 5.674
_cell_angle_alpha 90.00
_cell_angle_beta 90.00
_cell_angle_gamma 90.00
_space_group_name_H-M_alt 'F m -3 m'
_space_group_IT_number 225
_space_group_name_Hall '-F 4 2 3'
loop_
_atom_site_label
_atom_site_fract_x
_atom_site_fract_y
_atom_site_fract_z
Cu1 0.250 0.250 0.250
Si1 0.000 0.000 0.000
N1 0.000 0.000 0.500
```

---

no.,uncorrected energy (eV/atom)
1,-4.659
2,-4.610